# CeBSe4

Crystalline CeBSe4 at its relaxed geometry (PBE, Alexandria via LeMat-Bulk).

Output
Formation energy (no corrections) (eV/atom): -0.66
Magnetic moment (μB per atom): 0.00

a = 7.381 Å, b = 7.381 Å, c = 7.381 Å
α = 104.65°, β = 104.65°, γ = 119.61°
Sites, in units of the cell vectors:
Ce 0.375 0.625 0.750
Ce 0.625 0.375 0.250
B 0.125 0.875 0.250
B 0.875 0.125 0.750
Se 0.136 0.706 0.430
Se 0.224 0.294 0.930
Se 0.294 0.224 0.430
Se 0.294 0.864 0.070
Se 0.706 0.136 0.930
Se 0.706 0.776 0.570
Se 0.776 0.706 0.070
Se 0.864 0.294 0.570